No. 1
Below is a relaxed Sr2NdRh9 crystal, with properties calculated at the PBE-GGA level. Values from VASP.

Quantum ESPRESSO input file:
```
&SYSTEM
  ibrav = 0, nat = 12, ntyp = 3
/
ATOMIC_SPECIES
Sr 87.62 Sr.upf
Nd 144.24 Nd.upf
Rh 102.91 Rh.upf
ATOMIC_POSITIONS angstrom
Sr 0.000 0.000 3.765
Sr 0.000 0.000 22.933
Nd 0.000 0.000 0.000
Rh -1.324 -0.764 11.022
Rh 0.000 0.000 8.869
Rh 0.000 -1.529 15.676
Rh -1.324 0.764 15.676
Rh 0.000 0.000 13.349
Rh 1.324 -0.764 11.022
Rh 0.000 1.529 11.022
Rh 0.000 0.000 17.829
Rh 1.324 0.764 15.676
CELL_PARAMETERS angstrom
2.687 1.551 8.899
-2.687 1.551 8.899
0.000 -3.102 8.899
```

No. 2
Below is a relaxed SrNd3Rh8 crystal, with properties calculated at the PBE-GGA level. Values from VASP.

Quantum ESPRESSO input file:
```
&SYSTEM
  ibrav = 0, nat = 12, ntyp = 3
/
ATOMIC_SPECIES
Sr 87.62 Sr.upf
Nd 144.24 Nd.upf
Rh 102.91 Rh.upf
ATOMIC_POSITIONS angstrom
Sr 0.000 0.000 0.000
Nd 0.000 0.000 3.318
Nd 0.000 0.000 13.371
Nd 0.000 0.000 16.735
Rh 0.000 -1.558 6.104
Rh -1.349 0.779 6.104
Rh -1.352 -0.780 10.611
Rh 0.000 0.000 8.352
Rh 1.349 0.779 6.104
Rh 1.352 -0.780 10.611
Rh 0.000 1.561 10.611
Rh 0.000 0.000 21.704
CELL_PARAMETERS angstrom
2.713 1.566 8.898
-2.713 1.566 8.898
0.000 -3.132 8.898
```

No. 3
Below is a relaxed SrNd2Rh9 crystal, with properties calculated at the PBE-GGA level. Values from VASP.

Quantum ESPRESSO input file:
```
&SYSTEM
  ibrav = 0, nat = 12, ntyp = 3
/
ATOMIC_SPECIES
Sr 87.62 Sr.upf
Nd 144.24 Nd.upf
Rh 102.91 Rh.upf
ATOMIC_POSITIONS angstrom
Sr 0.000 0.000 0.000
Nd 0.000 0.000 3.658
Nd 0.000 0.000 22.803
Rh -1.336 -0.771 10.988
Rh 0.000 0.000 8.797
Rh 0.000 -1.543 15.472
Rh -1.336 0.771 15.472
Rh 0.000 0.000 13.230
Rh 1.336 -0.771 10.988
Rh 0.000 1.543 10.988
Rh 0.000 0.000 17.664
Rh 1.336 0.771 15.472
CELL_PARAMETERS angstrom
2.683 1.549 8.820
-2.683 1.549 8.820
0.000 -3.098 8.820
```

| no. | total magnetic moment (Bohr magnetons per cell) | energy relative to the elements (eV/atom) |
| --- | --- | --- |
| 1 | 0.00 | -0.28 |
| 2 | 0.00 | -0.57 |
| 3 | 0.00 | -0.40 |